[1]
This record from the Alexandria database describes RbZrIn2N after structural relaxation. The functional is PBE.

a = 5.937 Å, b = 5.937 Å, c = 4.269 Å
α = 90.00°, β = 90.00°, γ = 90.00°
Fractional coordinates of all 5 atoms:
1 Rb 0.000 0.000 0.000
2 Zr 0.500 0.500 0.500
3 In 0.000 0.500 0.500
4 In 0.500 0.000 0.500
5 N 0.500 0.500 0.000

Results
- DOS at the Fermi energy (states/eV/atom) = 0.63
- raw formation energy (meV/atom) = 177
- size of the total moment (μB per formula unit) = 0.00

[2]
This record from the Alexandria database describes ReOs after structural relaxation. The functional is PBE.

a = 2.764 Å, b = 8.044 Å, c = 8.044 Å
α = 31.45°, β = 90.00°, γ = 90.00°
Fractional coordinates of all 6 atoms:
1 Re 0.000 0.000 0.000
2 Re 0.000 0.298 0.298
3 Re 0.500 0.458 0.458
4 Os 0.000 0.608 0.608
5 Os 0.500 0.157 0.157
6 Os 0.500 0.850 0.850

Results
- DOS at the Fermi energy (states/eV/atom) = 0.75
- DFT formation energy (meV/atom) = 273
- size of the total moment (μB per formula unit) = 0.00